# YHf2P2 (PBE, relaxed)
data_YHf2P2
_cell_length_a 7.275
_cell_length_b 7.275
_cell_length_c 3.523
_cell_angle_alpha 90.00
_cell_angle_beta 90.00
_cell_angle_gamma 90.00
_symmetry_space_group_name_H-M 'P 4/m b m'
_symmetry_Int_Tables_number 127
_symmetry_space_group_name_Hall '-P 4 2ab'
loop_
_atom_site_label
_atom_site_type_symbol
_atom_site_fract_x
_atom_site_fract_y
_atom_site_fract_z
Y1 Y 0.000 0.000 0.000
Hf1 Hf 0.155 0.345 0.500
P1 P 0.137 0.637 0.000
# - total energy (eV/cell) = -84.6
# - energy relative to the lowest polymorph listed for this composition (eV/atom) = 0.000
# - ΔE_f (meV/atom) = -1027